First-principles (PBE with a Hubbard U) data for a relaxed structure of LiCrSi2O6, as listed in Alexandria.

a b c (Å): 7.055 7.370 7.373
angles (deg): 80.72 62.05 78.91
Space group P-1 (No. 2)
Symmetry-distinct sites (fractional):
Li 0.000 0.000 0.000 [1 per cell]
Li 0.116 0.261 0.259 [2 per cell]
Cr 0.457 0.721 0.748 [2 per cell]
Cr 0.500 0.000 0.000 [1 per cell]
Si 0.186 0.658 0.245 [2 per cell]
Si 0.255 0.329 0.792 [2 per cell]
Si 0.302 0.884 0.475 [2 per cell]
O 0.046 0.323 0.755 [2 per cell]
O 0.138 0.773 0.445 [2 per cell]
O 0.218 0.912 0.714 [2 per cell]
O 0.251 0.171 0.976 [2 per cell]
O 0.270 0.534 0.824 [2 per cell]
O 0.279 0.444 0.271 [2 per cell]
O 0.347 0.780 0.041 [2 per cell]
O 0.359 0.062 0.301 [2 per cell]
O 0.468 0.261 0.568 [2 per cell]

E above lowest polymorph in eV per formula unit: 0.339
Size of the total moment in μB/cell: 9.00
ρ in g/cm3: 3.18

***

First-principles (PBE with a Hubbard U) data for a relaxed structure of Li2CrSi2O6, as listed in Alexandria.

a b c (Å): 6.032 10.080 9.125
angles (deg): 90.00 90.91 90.00
Space group C2/c (No. 15)
Symmetry-distinct sites (fractional):
Li 0.048 0.133 0.113 [8 per cell]
Cr 0.000 0.257 0.750 [4 per cell]
Si 0.163 0.464 0.139 [8 per cell]
O 0.000 0.377 0.250 [4 per cell]
O 0.000 0.500 0.000 [4 per cell]
O 0.131 0.129 0.908 [8 per cell]
O 0.249 0.101 0.282 [8 per cell]

E above lowest polymorph in eV per formula unit: 0.310
Size of the total moment in μB/cell: 16.00
ρ in g/cm3: 2.61

***

First-principles (PBE with a Hubbard U) data for a relaxed structure of Li2CrSi2O6, as listed in Alexandria.

a b c (Å): 7.729 19.495 6.932
angles (deg): 90.00 90.00 90.00
Space group Fdd2 (No. 43)
Symmetry-distinct sites (fractional):
Li 0.037 0.169 0.000 [16 per cell]
Cr 0.000 0.000 0.040 [8 per cell]
Si 0.077 0.333 0.925 [16 per cell]
O 0.001 0.242 0.375 [16 per cell]
O 0.029 0.085 0.846 [16 per cell]
O 0.091 0.115 0.470 [16 per cell]

E above lowest polymorph in eV per formula unit: 0.000
Size of the total moment in μB/cell: 32.00
ρ in g/cm3: 2.77

***

First-principles (PBE with a Hubbard U) data for a relaxed structure of Li4Cr3SiO8, as listed in Alexandria.

a b c (Å): 10.049 6.066 5.907
angles (deg): 90.00 125.58 90.00
Space group C2/m (No. 12)
Symmetry-distinct sites (fractional):
Li 0.000 0.000 0.000 [2 per cell]
Li 0.000 0.500 0.000 [2 per cell]
Li 0.250 0.250 0.000 [4 per cell]
Cr 0.000 0.000 0.500 [2 per cell]
Cr 0.250 0.250 0.500 [4 per cell]
Si 0.000 0.500 0.500 [2 per cell]
O 0.004 0.290 0.284 [8 per cell]
O 0.235 0.500 0.722 [4 per cell]
O 0.246 0.000 0.722 [4 per cell]

E in eV/atom: -6.7742
Size of the total moment in μB/cell: 20.00
ρ in g/cm3: 3.85

***

First-principles (PBE with a Hubbard U) data for a relaxed structure of Li2Cr5Si4O14, as listed in Alexandria.

a b c (Å): 5.756 7.046 8.089
angles (deg): 114.13 98.20 90.64
Space group P-1 (No. 2)
Symmetry-distinct sites (fractional):
Li 0.153 0.407 0.079 [2 per cell]
Cr 0.182 0.082 0.152 [2 per cell]
Cr 0.271 0.122 0.701 [2 per cell]
Cr 0.500 0.500 0.500 [1 per cell]
Si 0.043 0.678 0.561 [2 per cell]
Si 0.342 0.663 0.895 [2 per cell]
O 0.085 0.706 0.782 [2 per cell]
O 0.100 0.102 0.916 [2 per cell]
O 0.187 0.186 0.449 [2 per cell]
O 0.261 0.435 0.879 [2 per cell]
O 0.280 0.768 0.521 [2 per cell]
O 0.391 0.853 0.099 [2 per cell]
O 0.437 0.342 0.219 [2 per cell]

E above lowest polymorph in eV per formula unit: 5.923
Size of the total moment in μB/cell: 18.00
ρ in g/cm3: 3.43

***

First-principles (PBE with a Hubbard U) data for a relaxed structure of LiCrSi2O6, as listed in Alexandria.

a b c (Å): 5.315 18.169 8.752
angles (deg): 90.00 90.00 90.00
Space group Pbca (No. 61)
Symmetry-distinct sites (fractional):
Li 0.109 0.125 0.008 [8 per cell]
Cr 0.111 0.125 0.655 [8 per cell]
Si 0.062 0.725 0.160 [8 per cell]
Si 0.217 0.025 0.339 [8 per cell]
O 0.056 0.691 0.991 [8 per cell]
O 0.062 0.552 0.220 [8 per cell]
O 0.063 0.684 0.667 [8 per cell]
O 0.169 0.196 0.231 [8 per cell]
O 0.215 0.566 0.834 [8 per cell]
O 0.221 0.563 0.502 [8 per cell]

E above lowest polymorph in eV per formula unit: 0.000
Size of the total moment in μB/cell: 24.00
ρ in g/cm3: 3.32

***

First-principles (PBE with a Hubbard U) data for a relaxed structure of Li3Cr3SiO8, as listed in Alexandria.

a b c (Å): 5.8389 5.8389 14.6121
angles (deg): 90.00 90.00 120.00
Space group R-3m (No. 166, hexagonal axes)
Symmetry-distinct sites (fractional):
Li 0.0000 0.5000 0.0000 [9 per cell]
Cr 0.0000 0.5000 0.5000 [9 per cell]
Si 0.0000 0.0000 0.5000 [3 per cell]
O 0.0000 0.0000 0.2412 [6 per cell]
O 0.0332 0.5166 0.2356 [18 per cell]

E above lowest polymorph in eV per formula unit: 0.000
Size of the total moment in μB/cell: 27.00
ρ in g/cm3: 3.84

***

First-principles (PBE with a Hubbard U) data for a relaxed structure of LiCrSiO4, as listed in Alexandria.

a b c (Å): 5.702 5.702 8.053
angles (deg): 90.00 90.00 90.00
Space group P4_322 (No. 95)
Symmetry-distinct sites (fractional):
Li 0.000 0.219 0.000 [4 per cell]
Cr 0.234 0.500 0.250 [4 per cell]
Si 0.256 0.256 0.625 [4 per cell]
O 0.017 0.260 0.739 [8 per cell]
O 0.260 0.496 0.501 [8 per cell]

E above lowest polymorph in eV per formula unit: 0.209
Size of the total moment in μB/cell: 12.00
ρ in g/cm3: 3.83

***

First-principles (PBE with a Hubbard U) data for a relaxed structure of LiCrSiO4, as listed in Alexandria.

a b c (Å): 5.548 10.546 10.420
angles (deg): 90.00 91.83 90.00
Space group P2_1/c (No. 14)
Symmetry-distinct sites (fractional):
Li 0.091 0.153 0.270 [4 per cell]
Li 0.370 0.618 0.085 [4 per cell]
Cr 0.150 0.625 0.521 [4 per cell]
Cr 0.342 0.086 0.768 [4 per cell]
Si 0.113 0.597 0.836 [4 per cell]
Si 0.408 0.150 0.073 [4 per cell]
O 0.014 0.665 0.695 [4 per cell]
O 0.111 0.505 0.150 [4 per cell]
O 0.139 0.699 0.953 [4 per cell]
O 0.158 0.063 0.067 [4 per cell]
O 0.349 0.239 0.669 [4 per cell]
O 0.351 0.571 0.375 [4 per cell]
O 0.364 0.515 0.820 [4 per cell]
O 0.499 0.683 0.576 [4 per cell]

E above lowest polymorph in eV per formula unit: 0.467
Size of the total moment in μB/cell: 24.00
ρ in g/cm3: 3.29

***

First-principles (PBE with a Hubbard U) data for a relaxed structure of LiCrSi2O6, as listed in Alexandria.

a b c (Å): 5.193 8.801 18.358
angles (deg): 89.86 89.91 89.98
Space group P1 (No. 1)
Symmetry-distinct sites (fractional):
Li 0.000 0.000 0.000 [1 per cell]
Li 0.002 0.476 0.254 [1 per cell]
Li 0.009 0.138 0.251 [1 per cell]
Li 0.217 0.138 0.755 [1 per cell]
Li 0.221 0.637 0.498 [1 per cell]
Li 0.224 0.979 0.498 [1 per cell]
Li 0.500 0.457 0.001 [1 per cell]
Li 0.721 0.321 0.755 [1 per cell]
Cr 0.211 0.488 0.754 [1 per cell]
Cr 0.494 0.826 0.002 [1 per cell]
Cr 0.501 0.327 0.252 [1 per cell]
Cr 0.519 0.968 0.253 [1 per cell]
Cr 0.708 0.464 0.499 [1 per cell]
Cr 0.708 0.972 0.754 [1 per cell]
Cr 0.730 0.827 0.499 [1 per cell]
Cr 0.996 0.632 0.002 [1 per cell]
Si 0.068 0.818 0.349 [1 per cell]
Si 0.075 0.320 0.903 [1 per cell]
Si 0.164 0.318 0.403 [1 per cell]
Si 0.164 0.815 0.850 [1 per cell]
Si 0.309 0.636 0.151 [1 per cell]
Si 0.330 0.136 0.104 [1 per cell]
Si 0.409 0.324 0.607 [1 per cell]
Si 0.424 0.823 0.646 [1 per cell]
Si 0.567 0.641 0.348 [1 per cell]
Si 0.574 0.138 0.904 [1 per cell]
Si 0.664 0.644 0.850 [1 per cell]
Si 0.666 0.141 0.404 [1 per cell]
Si 0.814 0.818 0.149 [1 per cell]
Si 0.823 0.323 0.105 [1 per cell]
Si 0.913 0.133 0.605 [1 per cell]
Si 0.919 0.638 0.647 [1 per cell]
O 0.031 0.701 0.181 [1 per cell]
O 0.033 0.959 0.813 [1 per cell]
O 0.041 0.460 0.445 [1 per cell]
O 0.047 0.822 0.437 [1 per cell]
O 0.055 0.210 0.077 [1 per cell]
O 0.069 0.331 0.814 [1 per cell]
O 0.165 0.473 0.945 [1 per cell]
O 0.171 0.807 0.940 [1 per cell]
O 0.187 0.323 0.315 [1 per cell]
O 0.187 0.962 0.307 [1 per cell]
O 0.193 0.203 0.578 [1 per cell]
O 0.209 0.695 0.676 [1 per cell]
O 0.264 0.675 0.327 [1 per cell]
O 0.277 0.184 0.929 [1 per cell]
O 0.323 0.647 0.061 [1 per cell]
O 0.324 0.968 0.068 [1 per cell]
O 0.332 0.470 0.185 [1 per cell]
O 0.353 0.135 0.194 [1 per cell]
O 0.394 0.339 0.695 [1 per cell]
O 0.403 0.980 0.690 [1 per cell]
O 0.405 0.483 0.561 [1 per cell]
O 0.412 0.821 0.559 [1 per cell]
O 0.477 0.794 0.823 [1 per cell]
O 0.478 0.289 0.433 [1 per cell]
O 0.525 0.762 0.182 [1 per cell]
O 0.535 0.501 0.812 [1 per cell]
O 0.554 0.248 0.072 [1 per cell]
O 0.560 0.989 0.441 [1 per cell]
O 0.568 0.129 0.815 [1 per cell]
O 0.586 0.640 0.439 [1 per cell]
O 0.647 0.142 0.313 [1 per cell]
O 0.663 0.985 0.946 [1 per cell]
O 0.669 0.489 0.310 [1 per cell]
O 0.672 0.652 0.940 [1 per cell]
O 0.699 0.264 0.575 [1 per cell]
O 0.711 0.765 0.680 [1 per cell]
O 0.755 0.789 0.320 [1 per cell]
O 0.779 0.274 0.929 [1 per cell]
O 0.819 0.322 0.193 [1 per cell]
O 0.820 0.810 0.060 [1 per cell]
O 0.821 0.982 0.188 [1 per cell]
O 0.826 0.489 0.067 [1 per cell]
O 0.879 0.636 0.558 [1 per cell]
O 0.885 0.122 0.693 [1 per cell]
O 0.897 0.973 0.563 [1 per cell]
O 0.908 0.477 0.688 [1 per cell]
O 0.969 0.174 0.425 [1 per cell]
O 0.978 0.665 0.823 [1 per cell]

E above lowest polymorph in eV per formula unit: 0.520
Size of the total moment in μB/cell: 24.00
ρ in g/cm3: 3.34